# 1
ZrPt2W | SCAN | single point on PBEsol structure

```
data_ZrPt2W
_chemical_formula_sum 'Zr3 Pt6 W3'
_space_group_name_H-M_alt 'R -3 m'
_space_group_IT_number 166
_space_group_name_Hall '-R 3 2"'
_cell_length_a 2.8318
_cell_length_b 2.8318
_cell_length_c 28.0894
_cell_angle_alpha 90.00
_cell_angle_beta 90.00
_cell_angle_gamma 120.00
loop_
_atom_site_label
_atom_site_fract_x
_atom_site_fract_y
_atom_site_fract_z
_atom_site_occupancy
Zr1 0.0000 0.0000 0.0000 1
Pt1 0.0000 0.0000 0.2462 1
W1 0.0000 0.0000 0.5000 1
```

ΔH_f (0 K), eV per atom: -0.241


# 2
LaCuP2 | SCAN | single point on PBEsol structure

```
data_LaCuP2
_chemical_formula_sum 'La2 Cu2 P4'
_space_group_name_H-M_alt 'I -4 m 2'
_space_group_IT_number 119
_space_group_name_Hall 'I -4 -2'
_cell_length_a 4.058
_cell_length_b 4.058
_cell_length_c 8.939
_cell_angle_alpha 90.00
_cell_angle_beta 90.00
_cell_angle_gamma 90.00
loop_
_atom_site_label
_atom_site_fract_x
_atom_site_fract_y
_atom_site_fract_z
_atom_site_occupancy
La1 0.000 0.000 0.000 1
Cu1 0.000 0.500 0.750 1
P1 0.000 0.000 0.500 1
P2 0.000 0.500 0.250 1
```

ΔH_f (0 K), eV per atom: -0.292


# 3
AlReIrPb2 | SCAN | single point on PBEsol structure

```
data_AlReIrPb2
_chemical_formula_sum 'Al1 Re1 Ir1 Pb2'
_space_group_name_H-M_alt 'P 4/m m m'
_space_group_IT_number 123
_space_group_name_Hall '-P 4 2'
_cell_length_a 5.155
_cell_length_b 5.155
_cell_length_c 4.696
_cell_angle_alpha 90.00
_cell_angle_beta 90.00
_cell_angle_gamma 90.00
loop_
_atom_site_label
_atom_site_fract_x
_atom_site_fract_y
_atom_site_fract_z
_atom_site_occupancy
Al1 0.000 0.000 0.000 1
Re1 0.000 0.000 0.500 1
Ir1 0.500 0.500 0.000 1
Pb1 0.000 0.500 0.500 1
```

ΔH_f (0 K), eV per atom: 1.289


# 4
Al2IrPb | SCAN | single point on PBEsol structure

```
data_Al2IrPb
_chemical_formula_sum 'Al2 Ir1 Pb1'
_space_group_name_H-M_alt 'P m m m'
_space_group_IT_number 47
_cell_length_a 2.978
_cell_length_b 3.002
_cell_length_c 8.279
_cell_angle_alpha 90.00
_cell_angle_beta 90.00
_cell_angle_gamma 90.00
loop_
_space_group_symop_operation_xyz
'x,y,z'
'-x,-y,-z'
'-x,-y,z'
'x,y,-z'
'x,-y,-z'
'-x,y,z'
'-x,y,-z'
'x,-y,z'
loop_
_atom_site_label
_atom_site_fract_x
_atom_site_fract_y
_atom_site_fract_z
_atom_site_occupancy
Al1 0.000 0.000 0.183 1
Ir1 0.500 0.500 0.000 1
Pb1 0.000 0.500 0.500 1
```

ΔH_f (0 K), eV per atom: -0.475


# 5
Zr2AgRh | SCAN | single point on PBEsol structure

```
data_Zr2AgRh
_chemical_formula_sum 'Zr8 Ag4 Rh4'
_space_group_name_H-M_alt 'F -4 3 m'
_space_group_IT_number 216
_space_group_name_Hall 'F -4 2 3'
_cell_length_a 6.512
_cell_length_b 6.512
_cell_length_c 6.512
_cell_angle_alpha 90.00
_cell_angle_beta 90.00
_cell_angle_gamma 90.00
loop_
_atom_site_label
_atom_site_fract_x
_atom_site_fract_y
_atom_site_fract_z
_atom_site_occupancy
Zr1 0.000 0.000 0.000 1
Zr2 0.250 0.250 0.250 1
Ag1 0.000 0.000 0.500 1
Rh1 0.250 0.250 0.750 1
```

ΔH_f (0 K), eV per atom: -0.291


# 6
BeHg2Sb | SCAN | single point on PBEsol structure

```
data_BeHg2Sb
_chemical_formula_sum 'Be2 Hg4 Sb2'
_space_group_name_H-M_alt 'C m m m'
_space_group_IT_number 65
_space_group_name_Hall '-C 2 2'
_cell_length_a 3.268
_cell_length_b 5.727
_cell_length_c 8.894
_cell_angle_alpha 90.00
_cell_angle_beta 90.00
_cell_angle_gamma 90.00
loop_
_atom_site_label
_atom_site_fract_x
_atom_site_fract_y
_atom_site_fract_z
_atom_site_occupancy
Be1 0.000 0.000 0.000 1
Hg1 0.000 0.500 0.202 1
Sb1 0.000 0.000 0.500 1
```

Polymorph energy (0 for the lowest one), eV/atom: 0.0468


# 7
TiCrTc2 | SCAN | single point on PBEsol structure

```
data_TiCrTc2
_chemical_formula_sum 'Ti4 Cr4 Tc8'
_space_group_name_H-M_alt 'F m -3 m'
_space_group_IT_number 225
_space_group_name_Hall '-F 4 2 3'
_cell_length_a 5.993
_cell_length_b 5.993
_cell_length_c 5.993
_cell_angle_alpha 90.00
_cell_angle_beta 90.00
_cell_angle_gamma 90.00
loop_
_atom_site_label
_atom_site_fract_x
_atom_site_fract_y
_atom_site_fract_z
_atom_site_occupancy
Ti1 0.000 0.000 0.000 1
Cr1 0.000 0.000 0.500 1
Tc1 0.250 0.250 0.250 1
```

ΔH_f (0 K), eV per atom: -0.328


# 8
LiTa2 | SCAN | single point on PBEsol structure

```
data_LiTa2
_chemical_formula_sum 'Li2 Ta4'
_space_group_name_H-M_alt 'I 4/m m m'
_space_group_IT_number 139
_space_group_name_Hall '-I 4 2'
_cell_length_a 3.329
_cell_length_b 3.329
_cell_length_c 8.627
_cell_angle_alpha 90.00
_cell_angle_beta 90.00
_cell_angle_gamma 90.00
loop_
_atom_site_label
_atom_site_fract_x
_atom_site_fract_y
_atom_site_fract_z
_atom_site_occupancy
Li1 0.000 0.000 0.000 1
Ta1 0.000 0.000 0.336 1
```

ΔH_f (0 K), eV per atom: 0.471


Copy entry 7 word for word.
TiCrTc2 | SCAN | single point on PBEsol structure

```
data_TiCrTc2
_chemical_formula_sum 'Ti4 Cr4 Tc8'
_space_group_name_H-M_alt 'F m -3 m'
_space_group_IT_number 225
_space_group_name_Hall '-F 4 2 3'
_cell_length_a 5.993
_cell_length_b 5.993
_cell_length_c 5.993
_cell_angle_alpha 90.00
_cell_angle_beta 90.00
_cell_angle_gamma 90.00
loop_
_atom_site_label
_atom_site_fract_x
_atom_site_fract_y
_atom_site_fract_z
_atom_site_occupancy
Ti1 0.000 0.000 0.000 1
Cr1 0.000 0.000 0.500 1
Tc1 0.250 0.250 0.250 1
```

ΔH_f (0 K), eV per atom: -0.328